! PBE-GGA Nd2YPa2Rh5, relaxed; values from VASP
&SYSTEM
  ibrav = 0, nat = 20, ntyp = 4
/
ATOMIC_SPECIES
Nd 144.24 Nd.upf
Y 88.91 Y.upf
Pa 231.04 Pa.upf
Rh 102.91 Rh.upf
ATOMIC_POSITIONS angstrom
Nd 1.8971 3.6013 0.0000
Nd 3.6013 9.0997 0.0000
Nd 7.3956 1.8971 0.0000
Nd 9.0997 7.3956 0.0000
Y 0.0000 0.0000 0.0000
Y 5.4984 5.4984 0.0000
Pa 1.4956 6.9940 0.0000
Pa 4.0028 1.4956 0.0000
Pa 6.9940 9.5012 0.0000
Pa 9.5012 4.0028 0.0000
Rh 0.0000 5.4984 1.8122
Rh 0.5537 8.7206 1.8122
Rh 2.2763 0.5537 1.8122
Rh 3.2221 6.0522 1.8122
Rh 4.9447 3.2221 1.8122
Rh 5.4984 0.0000 1.8122
Rh 6.0522 7.7747 1.8122
Rh 7.7747 4.9447 1.8122
Rh 8.7206 10.4431 1.8122
Rh 10.4431 2.2763 1.8122
CELL_PARAMETERS angstrom
10.9969 0.0000 0.0000
0.0000 10.9969 0.0000
0.0000 0.0000 3.6244
! Fermi-level density of states	18.6	states/eV per cell
! total DFT energy (no corrections)	-78.22	eV/f.u.
! calculated formation energy	-0.647	eV/atom
! magnetization	0.00	Bohr magnetons per cell